## CdMoRu2F (PBE with a Hubbard U)

Data for a relaxed CdMoRu2F crystal.

Unit cell a=4.7978 b=3.9694 c=4.7978 alpha=90.00 beta=90.00 gamma=90.00
Fractional coordinates of all 5 atoms:
Ru 0.0000 0.0000 0.5000
Ru 0.5000 0.0000 0.0000
Mo 0.0000 0.0000 0.0000
F 0.0000 0.5000 0.0000
Cd 0.5000 0.5000 0.5000

Computed properties:
Fermi-level density of states (states/eV per cell): 5.1
Final energy (eV per atom): -4.97
Total moment (μB/f.u.): 0.00